Compound: Ti6CoAu
Source: Alexandria via LeMat-Bulk
Functional: PBE-GGA
Structure: relaxed

The structure in extended XYZ format:
```
8
Lattice="5.458 0.155 -0.527 -1.887 5.124 -0.527 -1.151 -1.701 5.087" Properties=species:S:1:pos:R:3 pbc="T T T"
Ti 0.048 0.070 3.142
Ti 2.937 0.882 0.687
Ti -0.274 3.054 0.687
Ti -0.516 2.697 3.346
Ti 2.695 0.525 3.346
Ti 2.373 3.508 0.891
Co 1.210 1.789 2.016
Au 0.000 0.000 0.000
```

Computed properties:
- magnetization (μB/atom) = 0.00
- ΔH_f (0 K) (eV per atom) = 0.077
- space-group type = R-3m
- E_tot (eV per atom) = -7.14

Compound: Nd2SnAs3Pt4
Source: Alexandria via LeMat-Bulk
Functional: PBE-GGA
Structure: relaxed

The structure in extended XYZ format:
```
10
Lattice="4.357 0.000 0.000 0.000 4.357 0.000 0.000 0.000 10.788" Properties=species:S:1:pos:R:3 pbc="T T T"
Pt 0.000 0.000 0.000
Pt 2.178 2.178 0.000
Pt 0.000 2.178 3.830
Pt 2.178 0.000 6.959
Nd 2.178 0.000 2.476
Nd 0.000 2.178 8.313
Sn 2.178 2.178 5.394
As 2.178 0.000 9.395
As 0.000 2.178 1.394
As 0.000 0.000 5.394
```

Computed properties:
- magnetization (μB/atom) = 0.00
- ΔH_f (0 K) (eV per atom) = -0.848
- space-group type = P-4m2
- E_tot (eV per atom) = -6.01

Compound: Na2TiAgSe4
Source: Alexandria via LeMat-Bulk
Functional: PBE-GGA
Structure: relaxed

The structure in extended XYZ format:
```
8
Lattice="3.810 0.000 0.000 0.000 7.376 0.105 0.000 2.826 6.744" Properties=species:S:1:pos:R:3 pbc="T T T"
Na 1.905 1.413 3.372
Na 0.000 2.826 6.744
Se 1.905 6.244 2.087
Se 0.000 7.126 5.094
Se 1.905 3.958 4.762
Se 3.810 3.076 1.756
Ag 1.905 3.688 0.053
Ti 0.000 5.101 3.425
```

Computed properties:
- magnetization (μB/atom) = 0.00
- ΔE_f (raw) (eV/atom) = -0.810
- space-group type = P2/m
- E_tot (eV per atom) = -4.23

Compound: Na2HgAsBr6
Source: Alexandria via LeMat-Bulk
Functional: PBE-GGA
Structure: relaxed

The structure in extended XYZ format:
```
10
Lattice="-6.848 -2.922 -2.518 -6.555 1.203 4.166 -5.565 4.829 -2.736" Properties=species:S:1:pos:R:3 pbc="T T T"
As 0.000 0.000 0.000
Br -7.959 1.372 1.908
Br -10.856 3.886 0.484
Br -11.009 1.739 -2.995
Br -11.524 -0.149 0.598
Br -8.112 -0.775 -1.571
Br -7.444 3.260 -1.685
Na -4.742 0.778 -0.272
Na -14.226 2.333 -0.816
Hg -9.484 1.555 -0.544
```

Computed properties:
- magnetization (μB/atom) = 0.00
- ΔE_f (raw) (eV/atom) = -0.683
- space-group type = Fm-3m
- energy relative to the lowest polymorph listed for this composition (meV/atom) = 106
- E_tot (eV per atom) = -2.45